Entry 1:
DFT (PBE-GGA) results for a relaxed Sm4CuS3 crystal.

Unit cell a=5.7196 b=5.7196 c=11.3969 alpha=90.00 beta=90.00 gamma=90.00
Space group I4/mmm (No. 139)
One atom of each set of equivalent atoms:
Sm1 0.0000 0.0000 0.2448 (multiplicity 4)
Sm2 0.0000 0.5000 0.0000 (multiplicity 4)
Cu1 0.0000 0.0000 0.5000 (multiplicity 2)
S1 0.0000 0.0000 0.0000 (multiplicity 2)
S2 0.0000 0.5000 0.2500 (multiplicity 4)

Values from the calculation:
Raw formation energy in eV per atom: -1.547
Spin magnetization in Bohr magnetons per cell: 0.00
ρ in Mg/m³: 6.78



Entry 2:
DFT (PBE-GGA) results for a relaxed Sm6CuS5 crystal.

Unit cell a=6.9773 b=12.0891 c=6.9697 alpha=90.00 beta=109.52 gamma=90.00
Space group C2/m (No. 12)
One atom of each set of equivalent atoms:
Sm1 0.2483 0.0000 0.2516 (multiplicity 4)
Sm2 0.2491 0.1683 0.7494 (multiplicity 8)
Cu1 0.0000 0.5000 0.0000 (multiplicity 2)
S1 0.0000 0.0000 0.5000 (multiplicity 2)
S2 0.0000 0.1656 0.0000 (multiplicity 4)
S3 0.0000 0.3322 0.5000 (multiplicity 4)

Values from the calculation:
Raw formation energy in eV per atom: -1.724
Spin magnetization in Bohr magnetons per cell: 0.00
ρ in Mg/m³: 6.75



Entry 3:
DFT (PBE-GGA) results for a relaxed Sm7CuS5 crystal.

Unit cell a=3.9677 b=6.8951 c=24.0748 alpha=89.98 beta=90.00 gamma=73.38
Space group P-1 (No. 2)
One atom of each set of equivalent atoms:
Sm1 0.0374 0.4261 0.2500 (multiplicity 2)
Sm2 0.1363 0.2262 0.5369 (multiplicity 2)
Sm3 0.1368 0.2252 0.9631 (multiplicity 2)
Sm4 0.3133 0.8740 0.3238 (multiplicity 2)
Sm5 0.3130 0.8745 0.1761 (multiplicity 2)
Sm6 0.4122 0.6749 0.8928 (multiplicity 2)
Sm7 0.4118 0.6757 0.6072 (multiplicity 2)
Cu1 0.2980 0.9033 0.7503 (multiplicity 2)
S1 0.0473 0.4045 0.8574 (multiplicity 2)
S2 0.0481 0.4029 0.6427 (multiplicity 2)
S3 0.2254 0.0505 0.4292 (multiplicity 2)
S4 0.2260 0.0491 0.0707 (multiplicity 2)
S5 0.5000 0.5000 0.0000 (multiplicity 1)
S6 0.5000 0.5000 0.5000 (multiplicity 1)

Values from the calculation:
Raw formation energy in eV per atom: -1.578
Spin magnetization in Bohr magnetons per cell: 0.00
ρ in Mg/m³: 6.72



Entry 4:
DFT (PBE-GGA) results for a relaxed Sm4CuS5 crystal.

Unit cell a=3.9911 b=3.9911 c=47.0995 alpha=90.00 beta=90.00 gamma=120.00
Space group R-3m (No. 166, hexagonal axes)
One atom of each set of equivalent atoms:
Sm1 0.0000 0.0000 0.1054 (multiplicity 6)
Sm2 0.0000 0.0000 0.2983 (multiplicity 6)
Cu1 0.0000 0.0000 0.5000 (multiplicity 3)
S1 0.0000 0.0000 0.0000 (multiplicity 3)
S2 0.0000 0.0000 0.1945 (multiplicity 6)
S3 0.0000 0.0000 0.4036 (multiplicity 6)

Values from the calculation:
Raw formation energy in eV per atom: -1.678
Spin magnetization in Bohr magnetons per cell: 0.00
ρ in Mg/m³: 6.33



Entry 5:
DFT (PBE-GGA) results for a relaxed Sm2Cu4S5 crystal.

Unit cell a=3.8641 b=3.8641 c=48.3264 alpha=90.00 beta=90.00 gamma=120.00
Space group R-3m (No. 166, hexagonal axes)
One atom of each set of equivalent atoms:
Sm1 0.0000 0.0000 0.1312 (multiplicity 6)
Cu1 0.0000 0.0000 0.3117 (multiplicity 6)
Cu2 0.0000 0.0000 0.4128 (multiplicity 6)
S1 0.0000 0.0000 0.2377 (multiplicity 6)
S2 0.0000 0.0000 0.3654 (multiplicity 6)
S3 0.0000 0.0000 0.5000 (multiplicity 3)

Values from the calculation:
Raw formation energy in eV per atom: -0.905
Spin magnetization in Bohr magnetons per cell: 0.00
ρ in Mg/m³: 5.70



Entry 6:
DFT (PBE-GGA) results for a relaxed Tb2SmCuS5 crystal.

Unit cell a=3.8421 b=17.5246 c=11.2821 alpha=90.00 beta=90.00 gamma=90.00
Space group Cmc2_1 (No. 36)
One atom of each set of equivalent atoms:
Tb1 0.0000 0.0986 0.0000 (multiplicity 4)
Tb2 0.0000 0.1136 0.6254 (multiplicity 4)
Sm1 0.0000 0.1956 0.3267 (multiplicity 4)
Cu1 0.0000 0.4396 0.7706 (multiplicity 4)
S1 0.0000 0.0436 0.3798 (multiplicity 4)
S2 0.0000 0.2961 0.0048 (multiplicity 4)
S3 0.0000 0.3260 0.6536 (multiplicity 4)
S4 0.0000 0.3590 0.3197 (multiplicity 4)
S5 0.0000 0.4970 0.0955 (multiplicity 4)

Values from the calculation:
Raw formation energy in eV per atom: -1.698
Spin magnetization in Bohr magnetons per cell: 0.00
ρ in Mg/m³: 6.05



Entry 7:
DFT (PBE-GGA) results for a relaxed TbSmCu2S4 crystal.

Unit cell a=6.5317 b=6.6016 c=7.6035 alpha=90.00 beta=90.00 gamma=90.00
Space group I222 (No. 23)
One atom of each set of equivalent atoms:
Tb1 0.0000 0.0000 0.0000 (multiplicity 2)
Sm1 0.0000 0.0000 0.5000 (multiplicity 2)
Cu1 0.0000 0.5000 0.3303 (multiplicity 4)
S1 0.2469 0.2667 0.3051 (multiplicity 8)

Values from the calculation:
Raw formation energy in eV per atom: -1.201
Spin magnetization in Bohr magnetons per cell: 0.00
ρ in Mg/m³: 5.72



Entry 8:
DFT (PBE-GGA) results for a relaxed TbSm2CuS5 crystal.

Unit cell a=3.8888 b=16.8875 c=11.5615 alpha=90.00 beta=90.00 gamma=90.00
Space group Cmc2_1 (No. 36)
One atom of each set of equivalent atoms:
Tb1 0.0000 0.1948 0.0000 (multiplicity 4)
Sm1 0.0000 0.1074 0.6751 (multiplicity 4)
Sm2 0.0000 0.1204 0.2999 (multiplicity 4)
Cu1 0.0000 0.4421 0.4444 (multiplicity 4)
S1 0.0000 0.0422 0.0506 (multiplicity 4)
S2 0.0000 0.2896 0.6667 (multiplicity 4)
S3 0.0000 0.3166 0.3356 (multiplicity 4)
S4 0.0000 0.3580 0.9915 (multiplicity 4)
S5 0.0000 0.4982 0.7682 (multiplicity 4)

Values from the calculation:
Raw formation energy in eV per atom: -1.738
Spin magnetization in Bohr magnetons per cell: 0.00
ρ in Mg/m³: 5.98



Look up the ρ of the fourth one.
6.33 Mg/m³



The lowest raw formation energy belongs to which entry?
TbSm2CuS5



Repeat the second record exactly.
DFT (PBE-GGA) results for a relaxed Sm6CuS5 crystal.

Unit cell a=6.9773 b=12.0891 c=6.9697 alpha=90.00 beta=109.52 gamma=90.00
Space group C2/m (No. 12)
One atom of each set of equivalent atoms:
Sm1 0.2483 0.0000 0.2516 (multiplicity 4)
Sm2 0.2491 0.1683 0.7494 (multiplicity 8)
Cu1 0.0000 0.5000 0.0000 (multiplicity 2)
S1 0.0000 0.0000 0.5000 (multiplicity 2)
S2 0.0000 0.1656 0.0000 (multiplicity 4)
S3 0.0000 0.3322 0.5000 (multiplicity 4)

Values from the calculation:
Raw formation energy in eV per atom: -1.724
Spin magnetization in Bohr magnetons per cell: 0.00
ρ in Mg/m³: 6.75